VASP calculation (PBE) on a geometry-optimized Tm2Pu2Rh15 structure.

Cell: 6.9038 6.9038 6.9038 Å, 82.38 82.38 82.38°
Last column: nearest neighbours and their distance in Å.
Fractional positions:
1 Tm 0.1097 0.1097 0.1097  6 Rh 2.73-2.85, 1 Tm 2.95
2 Tm 0.8903 0.8903 0.8903  6 Rh 2.73-2.85, 1 Tm 2.95
3 Pu 0.3597 0.3597 0.3597  12 Rh 3.08-3.28, 1 Tm 3.36
4 Pu 0.6403 0.6403 0.6403  12 Rh 3.08-3.28, 1 Tm 3.36
5 Rh 0.5000 0.0000 0.0000  8 Rh 2.65-2.67, 2 Tm 2.73
6 Rh 0.0000 0.0000 0.5000  8 Rh 2.65-2.67, 2 Tm 2.73
7 Rh 0.0000 0.5000 0.0000  8 Rh 2.65-2.67, 2 Tm 2.73
8 Rh 0.0000 0.6911 0.3089  8 Rh 2.65-2.81
9 Rh 0.6911 0.3089 0.0000  8 Rh 2.65-2.81
10 Rh 0.3089 0.0000 0.6911  8 Rh 2.65-2.81
11 Rh 0.3089 0.6911 0.0000  8 Rh 2.65-2.81
12 Rh 0.6911 0.0000 0.3089  8 Rh 2.65-2.81
13 Rh 0.0000 0.3089 0.6911  8 Rh 2.65-2.81
14 Rh 0.1630 0.6495 0.6495  8 Rh 2.58-2.80, 1 Tm 2.85
15 Rh 0.6495 0.6495 0.1630  8 Rh 2.58-2.80, 1 Tm 2.85
16 Rh 0.6495 0.1630 0.6495  8 Rh 2.58-2.80, 1 Tm 2.85
17 Rh 0.8370 0.3505 0.3505  8 Rh 2.58-2.80, 1 Tm 2.85
18 Rh 0.3505 0.3505 0.8370  8 Rh 2.58-2.80, 1 Tm 2.85
19 Rh 0.3505 0.8370 0.3505  8 Rh 2.58-2.80, 1 Tm 2.85

Results
The value obtained for the total DFT energy (no corrections) is -8.083 eV per atom. As for the space group: R-3m (166). The calculation puts the calculated volume at 16.9 Å³/atom. The value obtained for the calculated formation energy is -0.300 eV per atom.